Record 1
Computed, not measured: a relaxed La2YTc crystal at the GGA-PBEsol level of DFT.

Lattice parameters (Å, degrees): 3.5142 3.5142 8.6646 90.00 90.00 90.00
With the nearest neighbours (Å) after each atom.
Space group P4/mmm (No. 123)
Symmetry-distinct sites (fractional):
La  0.0000  0.0000  0.1998 [2 per cell]  4 Tc 3.03
Y  0.5000  0.5000  0.5000 [1 per cell]  4 Y 3.51, 8 La 3.60
Tc  0.5000  0.5000  0.0000 [1 per cell]  8 La 3.03

* theoretical density: 7.2 g cm⁻³
* D(E_F): 1.3000 states/eV per atom
* ΔH_f (0 K): 0.18 eV per atom

Record 2
Computed, not measured: a relaxed Ba2RePb crystal at the GGA-PBEsol level of DFT.

Lattice parameters (Å, degrees): 3.5046 3.5046 33.5097 90.00 90.00 120.00
With the nearest neighbours (Å) after each atom.
Space group R-3m (No. 166, hexagonal axes)
Symmetry-distinct sites (fractional):
Ba  0.0000  0.0000  0.2386 [6 per cell]  3 Re 3.15, 6 Ba 3.50
Re  0.0000  0.0000  0.5000 [3 per cell]  6 Ba 3.15, 6 Re 3.50
Pb  0.0000  0.0000  0.0000 [3 per cell]  6 Pb 3.50, 6 Ba 3.76

* theoretical density: 9.3 g cm⁻³
* D(E_F): 1.0872 states/eV per atom
* ΔH_f (0 K): 0.91 eV per atom

Record 3
Computed, not measured: a relaxed CrNiOs2 crystal at the GGA-PBEsol level of DFT.

Lattice parameters (Å, degrees): 3.7246 3.7246 3.5936 90.00 90.00 90.00
With the nearest neighbours (Å) after each atom.
Space group P4/mmm (No. 123)
Symmetry-distinct sites (fractional):
Cr  0.0000  0.0000  0.0000 [1 per cell]  8 Os 2.59, 4 Ni 2.63
Ni  0.5000  0.5000  0.0000 [1 per cell]  8 Os 2.59, 4 Cr 2.63
Os  0.0000  0.5000  0.5000 [2 per cell]  4 Cr 2.59, 4 Ni 2.59, 4 Os 2.63

* theoretical density: 16.4 g cm⁻³
* D(E_F): 0.7166 states/eV per atom
* ΔH_f (0 K): 0.08 eV per atom

Record 4
Computed, not measured: a relaxed DyI3O9 crystal at the GGA-PBEsol level of DFT.

Lattice parameters (Å, degrees): 7.0708 8.2682 13.1857 90.00 100.55 90.00
With the nearest neighbours (Å) after each atom.
Space group P2_1/c (No. 14)
Symmetry-distinct sites (fractional):
Dy  0.1758  0.2401  0.1455 [4 per cell]  7 O 2.22-2.45
I  0.1724  0.7133  0.1141 [4 per cell]  3 O 1.82-1.83
I  0.2690  0.0149  0.8872 [4 per cell]  3 O 1.82-1.85
I  0.3340  0.5403  0.8616 [4 per cell]  3 O 1.80-1.85
O  0.0116  0.5171  0.3803 [4 per cell]  1 I 1.83
O  0.0320  0.1729  0.4878 [4 per cell]  1 I 1.82
O  0.1477  0.6969  0.8252 [4 per cell]  1 I 1.85
O  0.1613  0.5246  0.1859 [4 per cell]  1 I 1.83
O  0.2408  0.2159  0.8256 [4 per cell]  1 I 1.85
O  0.3182  0.0622  0.0244 [4 per cell]  1 I 1.82
O  0.3506  0.0259  0.2310 [4 per cell]  1 I 1.83
O  0.3682  0.6609  0.0465 [4 per cell]  1 I 1.83
O  0.4670  0.1794  0.6279 [4 per cell]  1 I 1.80

* theoretical density: 6.0 g cm⁻³
* D(E_F): 0.0000 states/eV per atom
* electronic total energy: -5.453 eV/atom

Record 5
Computed, not measured: a relaxed CaTaCd2Si crystal at the GGA-PBEsol level of DFT.

Lattice parameters (Å, degrees): 5.2224 5.2224 4.9709 90.00 90.00 90.00
With the nearest neighbours (Å) after each atom.
Space group P4/mmm (No. 123)
Symmetry-distinct sites (fractional):
Ca  0.0000  0.0000  0.0000 [1 per cell]  2 Ta 2.49, 4 Cd 2.61
Ta  0.0000  0.0000  0.5000 [1 per cell]  2 Ca 2.49
Cd  0.0000  0.5000  0.0000 [2 per cell]  2 Ca 2.61
Si  0.5000  0.5000  0.5000 [1 per cell]  8 Cd 3.60, 4 Ta 3.69

* theoretical density: 5.8 g cm⁻³
* D(E_F): 0.7435 states/eV per atom
* electronic total energy: -2.590 eV/atom

Record 6
Computed, not measured: a relaxed ZrMnPb2 crystal at the GGA-PBEsol level of DFT.

Lattice parameters (Å, degrees): 4.1735 4.1735 9.9351 90.00 90.00 90.00
With the nearest neighbours (Å) after each atom.
Space group I-4m2 (No. 119)
Symmetry-distinct sites (fractional):
Zr  0.0000  0.0000  0.0000 [2 per cell]  8 Pb 2.95-3.24, 4 Mn 3.24
Mn  0.0000  0.5000  0.7500 [2 per cell]  8 Pb 2.95-3.24, 4 Zr 3.24
Pb  0.0000  0.0000  0.5000 [2 per cell]  4 Zr 2.95, 4 Mn 3.24, 4 Pb 3.24
Pb  0.0000  0.5000  0.2500 [2 per cell]  4 Mn 2.95, 4 Zr 3.24, 4 Pb 3.24

* theoretical density: 10.8 g cm⁻³
* D(E_F): 0.5364 states/eV per atom
* ΔH_f (0 K): 0.15 eV per atom

Record 7
Computed, not measured: a relaxed ZnCdBS2 crystal at the GGA-PBEsol level of DFT.

Lattice parameters (Å, degrees): 4.0147 4.0147 5.3955 90.00 90.00 90.00
With the nearest neighbours (Å) after each atom.
Space group P4/mmm (No. 123)
Symmetry-distinct sites (fractional):
Zn  0.0000  0.0000  0.0000 [1 per cell]  4 Cd 2.84
Cd  0.5000  0.5000  0.0000 [1 per cell]  2 B 2.70, 4 Zn 2.84
B  0.5000  0.5000  0.5000 [1 per cell]  4 S 2.01
S  0.0000  0.5000  0.5000 [2 per cell]  2 B 2.01

* theoretical density: 4.8 g cm⁻³
* D(E_F): 0.4980 states/eV per atom
* electronic total energy: -3.096 eV/atom

Record 8
Computed, not measured: a relaxed SrCa3 crystal at the GGA-PBEsol level of DFT.

Lattice parameters (Å, degrees): 3.8057 6.3290 7.1510 90.00 97.99 90.00
With the nearest neighbours (Å) after each atom.
Space group P2/m (No. 10)
Symmetry-distinct sites (fractional):
Sr  0.0000  0.0000  0.0000 [1 per cell]  2 Sr 3.81, 6 Ca 3.81-3.85
Ca  0.2602  0.5000  0.7444 [2 per cell]  7 Ca 3.77-4.16, 2 Sr 3.85
Ca  0.5000  0.0000  0.5000 [1 per cell]  6 Ca 3.79-3.81, 2 Sr 3.81

* theoretical density: 2.0 g cm⁻³
* D(E_F): 1.2001 states/eV per atom
* ΔH_f (0 K): 0.02 eV per atom

Record 9
Computed, not measured: a relaxed NiP4H16N2O16 crystal at the GGA-PBEsol level of DFT.

Lattice parameters (Å, degrees): 7.0426 7.2202 7.6091 99.26 108.54 90.11
With the nearest neighbours (Å) after each atom.
Space group P-1 (No. 2)
Symmetry-distinct sites (fractional):
Ni  0.0000  0.0000  0.0000 [1 per cell]  6 O 2.02-2.09
P  0.1633  0.2453  0.7404 [2 per cell]  4 O 1.52-1.61
P  0.2497  0.7231  0.2632 [2 per cell]  4 O 1.50-1.61
H  0.1156  0.1959  0.3429 [2 per cell]  1 O 1.00
H  0.1177  0.3352  0.1981 [2 per cell]  1 O 1.00
H  0.2416  0.4857  0.9870 [2 per cell]  1 O 1.13
H  0.3217  0.8994  0.8342 [2 per cell]  1 N 1.05
H  0.3555  0.6649  0.8158 [2 per cell]  1 N 1.04
H  0.4198  0.2207  0.5720 [2 per cell]  1 O 1.10
H  0.4264  0.7891  0.6736 [2 per cell]  1 N 1.05
H  0.4416  0.1771  0.0917 [2 per cell]  1 N 1.04
N  0.4162  0.7942  0.8086 [2 per cell]  4 H 1.04-1.05
O  0.0482  0.2204  0.2128 [2 per cell]  2 H 1.00
O  0.0738  0.7397  0.3574 [2 per cell]  2 P 1.61
O  0.1959  0.1131  0.8836 [2 per cell]  1 P 1.53
O  0.2274  0.5219  0.1539 [2 per cell]  1 H 1.29
O  0.2364  0.1802  0.5746 [2 per cell]  1 H 1.33
O  0.2444  0.8754  0.1483 [2 per cell]  1 P 1.50
O  0.2555  0.4448  0.8420 [2 per cell]  1 H 1.13
O  0.4352  0.7470  0.4445 [2 per cell]  1 H 1.10

* theoretical density: 2.2 g cm⁻³
* electronic total energy: -6.070 eV/atom

Record 10
Computed, not measured: a relaxed SrLa3MgAlO8 crystal at the GGA-PBEsol level of DFT.

Lattice parameters (Å, degrees): 5.3765 5.3966 12.4846 90.00 90.00 90.00
With the nearest neighbours (Å) after each atom.
Space group Amm2 (No. 38)
Symmetry-distinct sites (fractional):
Sr  0.0000  0.0000  0.0000 [2 per cell]  9 O 2.44-2.72
La  0.0000  0.0000  0.2801 [2 per cell]  5 O 2.41-2.56
La  0.5000  0.0000  0.5047 [2 per cell]  5 O 2.33-2.57
La  0.5000  0.0000  0.7826 [2 per cell]  5 O 2.31-2.56
Mg  0.5000  0.0000  0.1380 [2 per cell]  5 O 1.97-2.13
Al  0.0000  0.0000  0.6435 [2 per cell]  5 O 1.84-2.01
O  0.0000  0.0000  0.4732 [2 per cell]  1 Al 2.13
O  0.0000  0.0000  0.8046 [2 per cell]  1 Al 2.01
O  0.2440  0.2400  0.6447 [8 per cell]  1 Al 1.84, 1 Mg 1.97
O  0.5000  0.0000  0.3181 [2 per cell]  1 Mg 2.25, 1 La 2.33
O  0.5000  0.0000  0.9676 [2 per cell]  1 Mg 2.13, 1 La 2.31

* theoretical density: 6.3 g cm⁻³
* D(E_F): 0.0000 states/eV per atom
* electronic total energy: -7.919 eV/atom

Record 11
Computed, not measured: a relaxed KAlBr3 crystal at the GGA-PBEsol level of DFT.

Lattice parameters (Å, degrees): 5.2908 5.2908 5.2908 90.00 90.00 90.00
With the nearest neighbours (Å) after each atom.
Space group Pm-3m (No. 221)
Symmetry-distinct sites (fractional):
K  0.0000  0.0000  0.0000 [1 per cell]  12 Br 3.74
Al  0.5000  0.5000  0.5000 [1 per cell]  6 Br 2.65
Br  0.0000  0.5000  0.5000 [3 per cell]  2 Al 2.65

* theoretical density: 3.4 g cm⁻³
* D(E_F): 0.1912 states/eV per atom
* electronic total energy: -3.289 eV/atom

Record 12
Computed, not measured: a relaxed Mg3Al8FeSi10O36 crystal at the GGA-PBEsol level of DFT.

Lattice parameters (Å, degrees): 9.7711 17.1933 9.3873 90.00 90.02 90.00
With the nearest neighbours (Å) after each atom.
Space group C2 (No. 5)
Symmetry-distinct sites (fractional):
Mg  0.0000  0.0000  0.0000 [2 per cell]  6 O 2.10-2.11
Mg  0.0000  0.9995  0.5000 [2 per cell]  6 O 2.09-2.11
Mg  0.0000  0.3248  0.0000 [2 per cell]  6 O 2.10-2.11
Al  0.1916  0.1114  0.2495 [4 per cell]  4 O 1.72-1.78
Al  0.1921  0.2132  0.7505 [4 per cell]  4 O 1.72-1.78
Al  0.2492  0.9131  0.5002 [4 per cell]  4 O 1.76
Al  0.2499  0.4124  0.0000 [4 per cell]  4 O 1.76-1.77
Fe  0.0000  0.3241  0.5000 [2 per cell]  6 O 2.13-2.14
Si  0.0000  0.1608  0.5000 [2 per cell]  4 O 1.64
Si  0.0000  0.1625  0.0000 [2 per cell]  4 O 1.64
Si  0.0778  0.4701  0.7507 [4 per cell]  4 O 1.60-1.65
Si  0.0784  0.8553  0.2497 [4 per cell]  4 O 1.60-1.65
Si  0.2384  0.5272  0.2493 [4 per cell]  4 O 1.59-1.65
Si  0.2376  0.7975  0.7502 [4 per cell]  4 O 1.58-1.65
O  0.0791  0.8265  0.7515 [4 per cell]  2 Si 1.62-1.63
O  0.0806  0.4972  0.2494 [4 per cell]  2 Si 1.62-1.63
O  0.0833  0.0985  0.4002 [4 per cell]  1 Si 1.64, 1 Al 1.78
O  0.0836  0.0996  0.0986 [4 per cell]  1 Si 1.64, 1 Al 1.78
O  0.0835  0.2252  0.9010 [4 per cell]  1 Si 1.64, 1 Al 1.78
O  0.0858  0.2231  0.5975 [4 per cell]  1 Si 1.64, 1 Al 1.78
O  0.1024  0.4144  0.8913 [4 per cell]  1 Si 1.65, 1 Al 1.77
O  0.1019  0.9103  0.3914 [4 per cell]  1 Si 1.65, 1 Al 1.76
O  0.1034  0.4173  0.6067 [4 per cell]  1 Si 1.65, 1 Al 1.76
O  0.1026  0.9102  0.1082 [4 per cell]  1 Si 1.65, 1 Al 1.76
O  0.1841  0.5406  0.7530 [4 per cell]  1 Si 1.60, 1 Al 1.72
O  0.1862  0.7854  0.2501 [4 per cell]  1 Si 1.60, 1 Al 1.72
O  0.1879  0.9893  0.6087 [4 per cell]  1 Si 1.65, 1 Al 1.76
O  0.1884  0.9889  0.8924 [4 per cell]  1 Si 1.65, 1 Al 1.76
O  0.1886  0.3361  0.1085 [4 per cell]  1 Si 1.65, 1 Al 1.77
O  0.1920  0.3357  0.3935 [4 per cell]  1 Si 1.65, 1 Al 1.76
O  0.2494  0.2057  0.2502 [4 per cell]  1 Si 1.58, 1 Al 1.72
O  0.2486  0.6192  0.2485 [4 per cell]  1 Si 1.59, 1 Al 1.72

* theoretical density: 2.5 g cm⁻³
* D(E_F): 0.0966 states/eV per atom
* electronic total energy: -7.882 eV/atom

Record 13
Computed, not measured: a relaxed Al2AgRu crystal at the GGA-PBEsol level of DFT.

Lattice parameters (Å, degrees): 3.0211 4.6266 8.7271 90.00 90.00 90.00
With the nearest neighbours (Å) after each atom.
Space group Cmm2 (No. 35)
Symmetry-distinct sites (fractional):
Al  0.0000  0.0000  0.0000 [2 per cell]  2 Ru 2.42
Al  0.0000  0.5000  0.2617 [2 per cell]  2 Ag 2.67, 6 Al 2.74-2.76
Ag  0.0000  0.0000  0.5144 [2 per cell]  2 Al 2.67, 4 Ag 2.76, 2 Ru 2.80
Ru  0.0000  0.5000  0.7839 [2 per cell]  2 Al 2.42

* theoretical density: 7.2 g cm⁻³
* D(E_F): 0.6777 states/eV per atom
* ΔH_f (0 K): 0.12 eV per atom

Record 14
Computed, not measured: a relaxed BeTcIr2 crystal at the GGA-PBEsol level of DFT.

Lattice parameters (Å, degrees): 2.7426 2.7426 6.5487 90.00 90.00 90.00
With the nearest neighbours (Å) after each atom.
Space group P4/mmm (No. 123)
Symmetry-distinct sites (fractional):
Be  0.0000  0.0000  0.0000 [1 per cell]  8 Ir 2.41
Tc  0.0000  0.0000  0.5000 [1 per cell]  8 Ir 2.68, 4 Tc 2.74
Ir  0.5000  0.5000  0.2182 [2 per cell]  4 Be 2.41, 4 Tc 2.68

* theoretical density: 16.6 g cm⁻³
* D(E_F): 0.5684 states/eV per atom
* ΔH_f (0 K): -0.41 eV per atom

Record 15
Computed, not measured: a relaxed LiTa2Pb crystal at the GGA-PBEsol level of DFT.

Lattice parameters (Å, degrees): 3.9191 3.9191 4.6445 90.00 90.00 90.00
With the nearest neighbours (Å) after each atom.
Space group P4/mmm (No. 123)
Symmetry-distinct sites (fractional):
Li  0.0000  0.0000  0.0000 [1 per cell]  4 Pb 2.77, 8 Ta 3.04
Ta  0.0000  0.5000  0.5000 [2 per cell]  4 Ta 2.77, 4 Pb 3.04, 4 Li 3.04
Pb  0.5000  0.5000  0.0000 [1 per cell]  4 Li 2.77, 8 Ta 3.04

* theoretical density: 13.4 g cm⁻³
* D(E_F): 0.6226 states/eV per atom
* ΔH_f (0 K): 0.29 eV per atom

Record 16
Computed, not measured: a relaxed ScBiPd3 crystal at the GGA-PBEsol level of DFT.

Lattice parameters (Å, degrees): 4.7379 4.7379 4.7379 90.00 90.00 90.00
With the nearest neighbours (Å) after each atom.
Space group Pm-3m (No. 221)
Symmetry-distinct sites (fractional):
Sc  0.0000  0.0000  0.0000 [1 per cell]  6 Pd 2.37
Bi  0.5000  0.5000  0.5000 [1 per cell]  12 Pd 3.35
Pd  0.0000  0.0000  0.5000 [3 per cell]  2 Sc 2.37

* theoretical density: 8.9 g cm⁻³
* D(E_F): 0.3262 states/eV per atom
* ΔH_f (0 K): 0.22 eV per atom

Record 17
Computed, not measured: a relaxed FeSi2Ru crystal at the GGA-PBEsol level of DFT.

Lattice parameters (Å, degrees): 2.9040 4.5216 7.3573 90.00 90.00 90.00
With the nearest neighbours (Å) after each atom.
Space group Immm (No. 71)
Symmetry-distinct sites (fractional):
Fe  0.0000  0.0000  0.0000 [2 per cell]  4 Si 2.27
Si  0.0000  0.5000  0.2621 [4 per cell]  2 Fe 2.27, 2 Ru 2.41
Ru  0.0000  0.0000  0.5000 [2 per cell]  4 Si 2.41, 4 Fe 2.69

* theoretical density: 7.3 g cm⁻³
* D(E_F): 0.6870 states/eV per atom
* electronic total energy: -7.897 eV/atom

Record 18
Computed, not measured: a relaxed Y5Ni crystal at the GGA-PBEsol level of DFT.

Lattice parameters (Å, degrees): 11.8306 3.5413 8.2092 90.00 111.13 90.00
With the nearest neighbours (Å) after each atom.
Space group Cm (No. 8)
Symmetry-distinct sites (fractional):
Y  0.0000  0.0000  0.0000 [2 per cell]  2 Ni 3.09, 2 Y 3.30
Y  0.0412  0.0000  0.4197 [2 per cell]  2 Ni 2.76
Y  0.1699  0.5000  0.7944 [2 per cell]  12 Y 3.40-3.65
Y  0.2987  0.0000  0.1691 [2 per cell]  2 Ni 2.77
Y  0.3399  0.0000  0.5888 [2 per cell]  2 Ni 3.08, 2 Y 3.30
Ni  0.1702  0.5000  0.2950 [2 per cell]  8 Y 2.76-3.09

* theoretical density: 5.2 g cm⁻³
* D(E_F): 1.3183 states/eV per atom
* ΔH_f (0 K): -0.09 eV per atom

Record 19
Computed, not measured: a relaxed SrZn2Sb crystal at the GGA-PBEsol level of DFT.

Lattice parameters (Å, degrees): 3.4189 3.7802 7.1423 90.00 90.00 90.00
With the nearest neighbours (Å) after each atom.
Space group Pmm2 (No. 25)
Symmetry-distinct sites (fractional):
Sr  0.0000  0.0000  0.0000 [1 per cell]  5 Zn 3.22-3.32, 4 Sb 3.40, 2 Sr 3.42
Zn  0.0000  0.0000  0.4505 [1 per cell]  4 Zn 2.77, 4 Sb 3.05
Zn  0.5000  0.5000  0.2969 [1 per cell]  1 Sb 2.77, 4 Zn 2.77
Sb  0.5000  0.5000  0.6846 [1 per cell]  5 Zn 2.77-3.05

* theoretical density: 6.1 g cm⁻³
* D(E_F): 0.4130 states/eV per atom
* electronic total energy: -2.584 eV/atom

Record 20
Computed, not measured: a relaxed CoSiGe2Br crystal at the GGA-PBEsol level of DFT.

Lattice parameters (Å, degrees): 5.1467 5.1467 4.1947 90.00 90.00 90.00
With the nearest neighbours (Å) after each atom.
Space group P4/mmm (No. 123)
Symmetry-distinct sites (fractional):
Co  0.0000  0.0000  0.0000 [1 per cell]  2 Br 2.10
Si  0.5000  0.5000  0.0000 [1 per cell]  8 Ge 3.32, 4 Co 3.64
Ge  0.0000  0.5000  0.5000 [2 per cell]  2 Br 2.57
Br  0.0000  0.0000  0.5000 [1 per cell]  2 Co 2.10

* theoretical density: 4.7 g cm⁻³
* D(E_F): 1.0310 states/eV per atom
* electronic total energy: -3.780 eV/atom